{"formula": "CaTiIrO6", "functional": "GGA-PBE", "state": "relaxed", "lattice_angstrom": [[-4.522, -2.433, -0.617], [4.432, -2.515, -0.888], [0.267, -2.962, 9.720]], "species": ["Ca", "O", "O", "Ti", "O", "Ti", "Ca", "O", "O", "O", "O", "O", "Ir", "O", "Ir", "O", "O", "O"], "fractional_positions": [[0.000, 0.000, 0.000], [0.632, 0.635, 0.144], [0.996, 0.632, 0.856], [0.333, 0.667, 0.750], [0.632, 0.996, 0.356], [0.667, 0.333, 0.250], [0.000, 0.000, 0.500], [0.368, 0.365, 0.856], [0.365, 0.368, 0.356], [0.368, 0.004, 0.644], [0.635, 0.004, 0.856], [0.365, 0.996, 0.144], [0.667, 0.333, 0.750], [0.635, 0.632, 0.644], [0.333, 0.667, 0.250], [0.996, 0.365, 0.644], [0.004, 0.635, 0.356], [0.004, 0.368, 0.144]], "formation_energy_uncorrected_mev_per_atom": -1974}